Entry 1:
Computed, not measured: a geometry-optimized RbHfNi structure at the PBE level of DFT.

Computed properties:
total magnetic moment = 0.01 μB/cell
volume = 27.2 A^3/atom
energy above the most stable polymorph in this dataset = 891 meV per atom

a = 6.884 Å, b = 6.884 Å, c = 6.884 Å
α = 90.00°, β = 90.00°, γ = 90.00°
Space group F-43m (No. 216)
Symmetry-distinct sites (fractional):
Rb  0.000  0.000  0.000 x4
Hf  0.250  0.250  0.750 x4
Ni  0.250  0.250  0.250 x4

***

Entry 2:
Computed, not measured: a geometry-optimized RbHfNi structure at the PBE level of DFT.

Computed properties:
total magnetic moment = 0.01 μB/cell
volume = 25.8 A^3/atom
energy above the most stable polymorph in this dataset = 0 meV per atom

a = 6.763 Å, b = 6.763 Å, c = 6.763 Å
α = 90.00°, β = 90.00°, γ = 90.00°
Space group F-43m (No. 216)
Symmetry-distinct sites (fractional):
Rb  0.000  0.000  0.000 x4
Hf  0.000  0.000  0.500 x4
Ni  0.250  0.250  0.750 x4

***

Entry 3:
Computed, not measured: a geometry-optimized Hf9Re4Ni structure at the PBE level of DFT.

Computed properties:
VASP energy = -10.7014 eV per atom
total magnetic moment = 0.02 μB/cell
volume = 19.2 A^3/atom

a = 8.5739 Å, b = 8.5739 Å, c = 8.4521 Å
α = 90.00°, β = 90.00°, γ = 120.00°
Space group P6_3/mmc (No. 194)
Symmetry-distinct sites (fractional):
Hf  0.0827  0.5413  0.2500 x6
Hf  0.1979  0.3958  0.5559 x12
Re  0.0000  0.0000  0.0000 x2
Re  0.1103  0.2206  0.2500 x6
Ni  0.3333  0.6667  0.7500 x2

***

Entry 4:
Computed, not measured: a geometry-optimized HfReNiSb structure at the PBE level of DFT.

Computed properties:
VASP energy = -7.6468 eV per atom
total magnetic moment = 2.86 μB/cell
volume = 17.3 A^3/atom

a = 6.513 Å, b = 6.513 Å, c = 6.513 Å
α = 90.00°, β = 90.00°, γ = 90.00°
Space group F-43m (No. 216)
Symmetry-distinct sites (fractional):
Hf  0.000  0.000  0.000 x4
Re  0.250  0.250  0.750 x4
Ni  0.000  0.000  0.500 x4
Sb  0.250  0.250  0.250 x4

***

Entry 5:
Computed, not measured: a geometry-optimized HfReSiNi structure at the PBE level of DFT.

Computed properties:
VASP energy = -8.1467 eV per atom
total magnetic moment = 0.45 μB/cell
volume = 15.1 A^3/atom

a = 6.227 Å, b = 6.227 Å, c = 6.227 Å
α = 90.00°, β = 90.00°, γ = 90.00°
Space group F-43m (No. 216)
Symmetry-distinct sites (fractional):
Hf  0.000  0.000  0.000 x4
Re  0.250  0.250  0.750 x4
Si  0.250  0.250  0.250 x4
Ni  0.000  0.000  0.500 x4

***

Entry 6:
Computed, not measured: a geometry-optimized HfReNiSn structure at the PBE level of DFT.

Computed properties:
VASP energy = -7.6832 eV per atom
total magnetic moment = 0.04 μB/cell
volume = 17.1 A^3/atom

a = 6.487 Å, b = 6.487 Å, c = 6.487 Å
α = 90.00°, β = 90.00°, γ = 90.00°
Space group F-43m (No. 216)
Symmetry-distinct sites (fractional):
Hf  0.000  0.000  0.000 x4
Re  0.250  0.250  0.750 x4
Ni  0.000  0.000  0.500 x4
Sn  0.250  0.250  0.250 x4

***

Entry 7:
Computed, not measured: a geometry-optimized HfZnReNi structure at the PBE level of DFT.

Computed properties:
VASP energy = -7.0833 eV per atom
total magnetic moment = 3.88 μB/cell
volume = 15.5 A^3/atom

a = 6.285 Å, b = 6.285 Å, c = 6.285 Å
α = 90.00°, β = 90.00°, γ = 90.00°
Space group F-43m (No. 216)
Symmetry-distinct sites (fractional):
Hf  0.000  0.000  0.000 x4
Zn  0.250  0.250  0.250 x4
Re  0.250  0.250  0.750 x4
Ni  0.000  0.000  0.500 x4

***

Entry 8:
Computed, not measured: a geometry-optimized HfNiSb structure at the PBE level of DFT.

Computed properties:
VASP energy = -7.0675 eV per atom
total magnetic moment = 0.00 μB/cell
volume = 17.6 A^3/atom

a = 6.663 Å, b = 4.156 Å, c = 7.645 Å
α = 90.00°, β = 90.00°, γ = 90.00°
Space group Pnma (No. 62)
Symmetry-distinct sites (fractional):
Hf  0.001  0.250  0.194 x4
Ni  0.185  0.250  0.590 x4
Sb  0.207  0.750  0.408 x4

***

Entry 9:
Computed, not measured: a geometry-optimized HfNi2Sb structure at the PBE level of DFT.

Computed properties:
VASP energy = -6.4162 eV per atom
total magnetic moment = 0.00 μB/cell
volume = 16.0 A^3/atom

a = 6.344 Å, b = 6.344 Å, c = 6.344 Å
α = 90.00°, β = 90.00°, γ = 90.00°
Space group F-43m (No. 216)
Symmetry-distinct sites (fractional):
Hf  0.000  0.000  0.000 x4
Ni  0.000  0.000  0.500 x4
Ni  0.250  0.250  0.250 x4
Sb  0.250  0.250  0.750 x4

***

Entry 10:
Computed, not measured: a geometry-optimized HfNiSb structure at the PBE level of DFT.

Computed properties:
VASP energy = -7.0796 eV per atom
total magnetic moment = 0.01 μB/cell
volume = 18.9 A^3/atom

a = 6.102 Å, b = 6.102 Å, c = 6.102 Å
α = 90.00°, β = 90.00°, γ = 90.00°
Space group F-43m (No. 216)
Symmetry-distinct sites (fractional):
Hf  0.000  0.000  0.000 x4
Ni  0.250  0.250  0.250 x4
Sb  0.000  0.000  0.500 x4

***

Entry 11:
Computed, not measured: a geometry-optimized Hf3NiSb7 structure at the PBE level of DFT.

Computed properties:
VASP energy = -6.2397 eV per atom
total magnetic moment = 0.02 μB/cell
volume = 22.8 A^3/atom

a = 17.486 Å, b = 3.947 Å, c = 14.510 Å
α = 90.00°, β = 90.00°, γ = 90.00°
Space group Pnma (No. 62)
Symmetry-distinct sites (fractional):
Hf  0.107  0.250  0.090 x4
Hf  0.130  0.250  0.529 x4
Hf  0.153  0.250  0.810 x4
Ni  0.063  0.250  0.311 x4
Sb  0.022  0.750  0.202 x4
Sb  0.038  0.750  0.424 x4
Sb  0.071  0.750  0.940 x4
Sb  0.093  0.750  0.675 x4
Sb  0.211  0.250  0.315 x4
Sb  0.228  0.750  0.146 x4
Sb  0.248  0.750  0.478 x4

***

Entry 12:
Computed, not measured: a geometry-optimized Hf2NiSb structure at the PBE level of DFT.

Computed properties:
VASP energy = -7.2161 eV per atom
total magnetic moment = 0.07 μB/cell
volume = 19.1 A^3/atom

a = 6.741 Å, b = 6.741 Å, c = 6.741 Å
α = 90.00°, β = 90.00°, γ = 90.00°
Space group F-43m (No. 216)
Symmetry-distinct sites (fractional):
Hf  0.000  0.000  0.000 x4
Hf  0.250  0.250  0.250 x4
Ni  0.250  0.250  0.750 x4
Sb  0.000  0.000  0.500 x4

***

Entry 13:
Computed, not measured: a geometry-optimized HfNiSb2 structure at the PBE level of DFT.

Computed properties:
VASP energy = -5.7313 eV per atom
total magnetic moment = 0.02 μB/cell
volume = 20.9 A^3/atom

a = 6.942 Å, b = 6.942 Å, c = 6.942 Å
α = 90.00°, β = 90.00°, γ = 90.00°
Space group F-43m (No. 216)
Symmetry-distinct sites (fractional):
Hf  0.000  0.000  0.000 x4
Ni  0.250  0.250  0.250 x4
Sb  0.000  0.000  0.500 x4
Sb  0.250  0.250  0.750 x4

***

Entry 14:
Computed, not measured: a geometry-optimized Hf5NiSb3 structure at the PBE level of DFT.

Computed properties:
VASP energy = -8.0522 eV per atom
total magnetic moment = 0.01 μB/cell
volume = 20.2 A^3/atom

a = 8.5605 Å, b = 8.5605 Å, c = 5.7285 Å
α = 90.00°, β = 90.00°, γ = 120.00°
Space group P6_3/mcm (No. 193)
Symmetry-distinct sites (fractional):
Hf  0.0000  0.2567  0.2500 x6
Hf  0.3333  0.6667  0.0000 x4
Ni  0.0000  0.0000  0.0000 x2
Sb  0.0000  0.3889  0.7500 x6

***

Entry 15:
Computed, not measured: a geometry-optimized HfTaNiSb structure at the PBE level of DFT.

Computed properties:
total magnetic moment = 1.34 μB/cell
volume = 18.0 A^3/atom
energy above the most stable polymorph in this dataset = 0 meV per atom

a = 6.602 Å, b = 6.602 Å, c = 6.602 Å
α = 90.00°, β = 90.00°, γ = 90.00°
Space group F-43m (No. 216)
Symmetry-distinct sites (fractional):
Hf  0.000  0.000  0.000 x4
Ta  0.250  0.250  0.250 x4
Ni  0.250  0.250  0.750 x4
Sb  0.000  0.000  0.500 x4

***

Entry 16:
Computed, not measured: a geometry-optimized HfNiSbW structure at the PBE level of DFT.

Computed properties:
VASP energy = -7.6752 eV per atom
total magnetic moment = 0.20 μB/cell
volume = 17.7 A^3/atom

a = 6.564 Å, b = 6.564 Å, c = 6.564 Å
α = 90.00°, β = 90.00°, γ = 90.00°
Space group F-43m (No. 216)
Symmetry-distinct sites (fractional):
Hf  0.000  0.000  0.000 x4
Ni  0.000  0.000  0.500 x4
Sb  0.250  0.250  0.250 x4
W  0.250  0.250  0.750 x4

***

Entry 17:
Computed, not measured: a geometry-optimized Hf2ZrNi4Sb4 structure at the PBE level of DFT.

Computed properties:
VASP energy = -6.7372 eV per atom
total magnetic moment = 0.00 μB/cell
volume = 20.2 A^3/atom

a = 6.081 Å, b = 6.081 Å, c = 12.006 Å
α = 90.00°, β = 90.00°, γ = 90.00°
Space group I-42m (No. 121)
Symmetry-distinct sites (fractional):
Hf  0.000  0.500  0.250 x4
Zr  0.000  0.000  0.000 x2
Ni  0.241  0.241  0.870 x8
Sb  0.000  0.000  0.263 x4
Sb  0.000  0.500  0.000 x4

***

Entry 18:
Computed, not measured: a geometry-optimized Hf2ScNi structure at the PBE level of DFT.

Computed properties:
VASP energy = -7.8116 eV per atom
total magnetic moment = 6.84 μB/cell
volume = 19.1 A^3/atom

a = 6.730 Å, b = 6.730 Å, c = 6.730 Å
α = 90.00°, β = 90.00°, γ = 90.00°
Space group F-43m (No. 216)
Symmetry-distinct sites (fractional):
Hf  0.000  0.000  0.000 x4
Hf  0.250  0.250  0.250 x4
Sc  0.250  0.250  0.750 x4
Ni  0.000  0.000  0.500 x4

***

Entry 19:
Computed, not measured: a geometry-optimized Hf2ScNi2 structure at the PBE level of DFT.

Computed properties:
VASP energy = -7.4174 eV per atom
total magnetic moment = 0.33 μB/cell
volume = 18.6 A^3/atom

a = 3.794 Å, b = 3.794 Å, c = 12.894 Å
α = 90.00°, β = 90.00°, γ = 90.00°
Space group I4/mmm (No. 139)
Symmetry-distinct sites (fractional):
Hf  0.000  0.000  0.118 x4
Sc  0.000  0.000  0.500 x2
Ni  0.000  0.500  0.250 x4

***

Entry 20:
Computed, not measured: a geometry-optimized HfScSiNi structure at the PBE level of DFT.

Computed properties:
total magnetic moment = 3.70 μB/cell
volume = 16.3 A^3/atom
energy above the most stable polymorph in this dataset = 0 meV per atom

a = 6.392 Å, b = 6.392 Å, c = 6.392 Å
α = 90.00°, β = 90.00°, γ = 90.00°
Space group F-43m (No. 216)
Symmetry-distinct sites (fractional):
Hf  0.000  0.000  0.000 x4
Sc  0.250  0.250  0.750 x4
Si  0.250  0.250  0.250 x4
Ni  0.000  0.000  0.500 x4